Entry 1:
VASP calculation (PBE) on a relaxed LiCeLuNi crystal.

Structure (CIF):
```
data_LiCeLuNi
_symmetry_space_group_name_H-M 'F -4 3 m'
_symmetry_Int_Tables_number 216
_symmetry_space_group_name_Hall 'F -4 2 3'
_cell_length_a 6.923
_cell_length_b 6.923
_cell_length_c 6.923
_cell_angle_alpha 90.00
_cell_angle_beta 90.00
_cell_angle_gamma 90.00
loop_
_atom_site_label
_atom_site_type_symbol
_atom_site_fract_x
_atom_site_fract_y
_atom_site_fract_z
Li1 Li 0.000 0.000 0.000
Ce1 Ce 0.250 0.250 0.750
Lu1 Lu 0.250 0.250 0.250
Ni1 Ni 0.000 0.000 0.500
```

Summary:
Mass density ... 7.62 g/cm³
Magnetic moment ... 0.772 μB/f.u.
ΔE_f ... -0.057 eV per atom

=====

Entry 2:
VASP calculation (PBE) on a relaxed NbPOsCl2 crystal.

Structure (CIF):
```
data_NbPOsCl2
_symmetry_space_group_name_H-M 'P 4/m m m'
_symmetry_Int_Tables_number 123
_symmetry_space_group_name_Hall '-P 4 2'
_cell_length_a 4.865
_cell_length_b 4.865
_cell_length_c 4.510
_cell_angle_alpha 90.00
_cell_angle_beta 90.00
_cell_angle_gamma 90.00
loop_
_atom_site_label
_atom_site_type_symbol
_atom_site_fract_x
_atom_site_fract_y
_atom_site_fract_z
Nb1 Nb 0.000 0.000 0.000
P1 P 0.500 0.500 0.000
Os1 Os 0.500 0.500 0.500
Cl1 Cl 0.000 0.500 0.500
```

Summary:
Mass density ... 5.99 g/cm³
Uncorrected formation energy ... 0.9268 eV per atom
Magnetic moment ... 3.418 μB/f.u.

=====

Entry 3:
VASP calculation (PBE) on a relaxed HoGa4Pt2 crystal.

Structure (CIF):
```
data_HoGa4Pt2
_symmetry_space_group_name_H-M 'P 42/m n m'
_symmetry_Int_Tables_number 136
_symmetry_space_group_name_Hall '-P 4n 2n'
_cell_length_a 7.902
_cell_length_b 7.902
_cell_length_c 4.120
_cell_angle_alpha 90.00
_cell_angle_beta 90.00
_cell_angle_gamma 90.00
loop_
_atom_site_label
_atom_site_type_symbol
_atom_site_fract_x
_atom_site_fract_y
_atom_site_fract_z
Ho1 Ho 0.000 0.000 0.000
Ga1 Ga 0.081 0.321 0.500
Pt1 Pt 0.219 0.781 0.500
```

Summary:
Mass density ... 10.77 g/cm³
Magnetic moment ... 0.000 μB/f.u.
ΔE_f ... -0.683 eV per atom

=====

Entry 4:
VASP calculation (PBE) on a relaxed AgI crystal.

Structure (CIF):
```
data_AgI
_symmetry_space_group_name_H-M 'F -4 3 m'
_symmetry_Int_Tables_number 216
_symmetry_space_group_name_Hall 'F -4 2 3'
_cell_length_a 6.624
_cell_length_b 6.624
_cell_length_c 6.624
_cell_angle_alpha 90.00
_cell_angle_beta 90.00
_cell_angle_gamma 90.00
loop_
_atom_site_label
_atom_site_type_symbol
_atom_site_fract_x
_atom_site_fract_y
_atom_site_fract_z
Ag1 Ag 0.000 0.000 0.000
I1 I 0.250 0.250 0.250
```

Summary:
Mass density ... 5.37 g/cm³
Uncorrected formation energy ... -0.2578 eV per atom
Magnetic moment ... 0.000 μB/f.u.

=====

Entry 5:
VASP calculation (PBE) on a relaxed TbDy5HoIn2 crystal.

Structure (CIF):
```
data_TbDy5HoIn2
_symmetry_space_group_name_H-M 'I 4/m c m'
_symmetry_Int_Tables_number 140
_symmetry_space_group_name_Hall '-I 4 2c'
_cell_length_a 7.619
_cell_length_b 7.619
_cell_length_c 19.421
_cell_angle_alpha 90.00
_cell_angle_beta 90.00
_cell_angle_gamma 90.00
loop_
_atom_site_label
_atom_site_type_symbol
_atom_site_fract_x
_atom_site_fract_y
_atom_site_fract_z
Tb1 Tb 0.000 0.000 0.250
Dy1 Dy 0.000 0.000 0.000
Dy2 Dy 0.201 0.299 0.124
Ho1 Ho 0.000 0.500 0.250
In1 In 0.124 0.376 0.500
```

Summary:
Mass density ... 8.05 g/cm³
Magnetic moment ... 0.000 μB/f.u.
ΔE_f ... 0.001 eV per atom

=====

Entry 6:
VASP calculation (PBE) on a relaxed K2Tb2TeS6 crystal.

Structure (CIF):
```
data_K2Tb2TeS6
_symmetry_space_group_name_H-M 'C 1 2/m 1'
_symmetry_Int_Tables_number 12
_cell_length_a 6.948
_cell_length_b 11.960
_cell_length_c 7.898
_cell_angle_alpha 90.00
_cell_angle_beta 106.92
_cell_angle_gamma 90.00
loop_
_symmetry_equiv_pos_as_xyz
'x,y,z'
'-x,-y,-z'
'-x,y,-z'
'x,-y,z'
'x+1/2,y+1/2,z'
'-x+1/2,-y+1/2,-z'
'-x+1/2,y+1/2,-z'
'x+1/2,-y+1/2,z'
loop_
_atom_site_label
_atom_site_type_symbol
_atom_site_fract_x
_atom_site_fract_y
_atom_site_fract_z
K1 K 0.000 0.167 0.000
Tb1 Tb 0.000 0.334 0.500
Te1 Te 0.000 0.000 0.500
S1 S 0.227 0.163 0.696
S2 S 0.243 0.500 0.696
```

Summary:
Mass density ... 3.79 g/cm³
Uncorrected formation energy ... -1.3554 eV per atom
Magnetic moment ... 0.000 μB/f.u.

=====

Entry 7:
VASP calculation (PBE) on a relaxed LaDy2H crystal.

Structure (CIF):
```
data_LaDy2H
_symmetry_space_group_name_H-M 'R -3 m'
_symmetry_Int_Tables_number 166
_symmetry_space_group_name_Hall '-R 3 2"'
_cell_length_a 3.5028
_cell_length_b 3.5028
_cell_length_c 28.7820
_cell_angle_alpha 90.00
_cell_angle_beta 90.00
_cell_angle_gamma 120.00
loop_
_atom_site_label
_atom_site_type_symbol
_atom_site_fract_x
_atom_site_fract_y
_atom_site_fract_z
La1 La 0.0000 0.0000 0.0000
Dy1 Dy 0.0000 0.0000 0.1204
H1 H 0.0000 0.0000 0.5000
```

Summary:
DFT total energy ... -53.24 eV per cell
Mass density ... 7.57 g/cm³
Magnetic moment ... 0.000 μB/f.u.

=====

Entry 8:
VASP calculation (PBE) on a relaxed NdDy2NbN4 crystal.

Structure (CIF):
```
data_NdDy2NbN4
_symmetry_space_group_name_H-M 'C m c m'
_symmetry_Int_Tables_number 63
_symmetry_space_group_name_Hall '-C 2c 2'
_cell_length_a 3.422
_cell_length_b 11.984
_cell_length_c 12.136
_cell_angle_alpha 90.00
_cell_angle_beta 90.00
_cell_angle_gamma 90.00
loop_
_atom_site_label
_atom_site_type_symbol
_atom_site_fract_x
_atom_site_fract_y
_atom_site_fract_z
Nd1 Nd 0.000 0.099 0.250
Dy1 Dy 0.000 0.371 0.035
Nb1 Nb 0.000 0.161 0.750
N1 N 0.000 0.000 0.000
N2 N 0.000 0.260 0.621
N3 N 0.000 0.446 0.250
```

Summary:
Mass density ... 8.25 g/cm³
Uncorrected formation energy ... -1.2552 eV per atom
Magnetic moment ... 0.000 μB/f.u.

=====

Q: Which of these has the lowest mass density?
A: K2Tb2TeS6

=====

Q: What is the mass density in the eighth record?
A: 8.25 g/cm³